A relaxed structure of EuMnNbBiO6. Source: the Alexandria database, functional PBE with a Hubbard U.

Results
* final energy: -0.29891 hartree per atom
* size of the total moment: 11.50 μB per formula unit

abc: 5.7629 5.7629 5.7629
angles: 60.00 60.00 60.00
Element x y z (fractional)
O 0.2550 0.7450 0.7450
O 0.2550 0.2550 0.7450
Mn 0.0000 0.0000 0.0000
O 0.7450 0.2550 0.7450
O 0.7450 0.7450 0.2550
O 0.2550 0.7450 0.2550
Bi 0.2500 0.2500 0.2500
O 0.7450 0.2550 0.2550
Eu 0.7500 0.7500 0.7500
Nb 0.5000 0.5000 0.5000